Computed, not measured: LuFeO3 after structural relaxation at the GGA+U level of DFT.

Structure (POSCAR):
```
LuFeO3
1.0
2.808 3.641 -3.816
-4.903 1.872 2.856
6.522 3.975 8.592
O Fe Lu
18 6 6
Cartesian
1.185 3.828 7.514 O
2.071 1.959 0.015 O
0.158 0.096 0.208 O
1.539 3.011 2.577 O
-0.713 1.320 2.424 O
-0.282 4.167 0.779 O
6.112 4.958 3.251 O
4.045 6.348 9.034 O
4.129 3.857 0.220 O
3.354 4.951 2.514 O
6.297 4.427 6.001 O
3.984 7.144 6.500 O
3.419 2.084 4.504 O
3.942 3.887 8.039 O
6.615 6.938 6.810 O
-1.227 2.628 4.854 O
3.562 4.622 5.342 O
0.784 4.361 4.738 O
2.551 3.817 3.960 Fe
5.113 7.643 7.936 Fe
5.121 4.408 1.736 Fe
7.446 5.181 7.305 Fe
-0.020 3.228 6.184 Fe
4.876 4.591 9.528 Fe
2.670 5.510 7.223 Lu
5.240 6.100 4.999 Lu
4.709 2.870 6.203 Lu
-0.591 3.523 2.926 Lu
1.979 4.113 0.703 Lu
1.448 0.882 1.907 Lu
```

Total moment ... 1.0 μB/f.u.
DOS at the Fermi energy ... 0.00 states/eV/atom
DFT total energy ... -7.2150 eV per atom